1.
Density functional theory data (PBE-GGA) for a geometry-optimized NaAcCdCu structure.

a b c (Å): 7.596 7.596 7.596
angles (deg): 90.00 90.00 90.00
Space group F-43m (No. 216)
One atom of each set of equivalent atoms:
Na: 0.000 0.000 0.000 (multiplicity 4)
Ac: 0.000 0.000 0.500 (multiplicity 4)
Cd: 0.250 0.250 0.750 (multiplicity 4)
Cu: 0.250 0.250 0.250 (multiplicity 4)

volume = 110 Å³/f.u.
crystal system = cubic
formation energy = 0.01 eV/atom
total DFT energy (no corrections) = -2.6009 eV per atom


2.
Density functional theory data (PBE-GGA) for a geometry-optimized ZrMo2Ru structure.

a b c (Å): 3.210 3.210 6.494
angles (deg): 90.00 90.00 90.00
Space group P4mm (No. 99)
One atom of each set of equivalent atoms:
Zr: 0.000 0.000 0.000 (multiplicity 1)
Mo: 0.000 0.000 0.496 (multiplicity 1)
Mo: 0.500 0.500 0.274 (multiplicity 1)
Ru: 0.500 0.500 0.748 (multiplicity 1)

volume = 67 Å³/f.u.
distance to the lowest polymorph of the same formula = 0.000 eV per atom
crystal system = tetragonal
formation energy = -0.14 eV/atom
total DFT energy (no corrections) = -10.0069 eV per atom


3.
Density functional theory data (PBE-GGA) for a geometry-optimized NdY3Er3 structure.

a b c (Å): 9.8654 9.8654 8.2039
angles (deg): 90.00 90.00 120.00
Space group R3m (No. 160, hexagonal axes)
One atom of each set of equivalent atoms:
Nd: 0.0000 0.0000 0.0000 (multiplicity 3)
Y: 0.0663 0.5332 0.3865 (multiplicity 9)
Er: 0.0999 0.5500 0.9618 (multiplicity 9)

volume = 230 Å³/f.u.
distance to the lowest polymorph of the same formula = 0.113 eV per atom
crystal system = trigonal
formation energy = 0.25 eV/atom
total DFT energy (no corrections) = -5.1579 eV per atom


4.
Density functional theory data (PBE-GGA) for a geometry-optimized Na2GeAu structure.

a b c (Å): 8.307 8.307 5.396
angles (deg): 90.00 90.00 90.00
Space group I-42d (No. 122)
One atom of each set of equivalent atoms:
Na: 0.234 0.250 0.125 (multiplicity 8)
Ge: 0.000 0.000 0.500 (multiplicity 4)
Au: 0.000 0.000 0.000 (multiplicity 4)

volume = 93 Å³/f.u.
crystal system = tetragonal
formation energy = 0.03 eV/atom
total DFT energy (no corrections) = -2.6024 eV per atom


What did the second record say?
Density functional theory data (PBE-GGA) for a geometry-optimized ZrMo2Ru structure.

a b c (Å): 3.210 3.210 6.494
angles (deg): 90.00 90.00 90.00
Space group P4mm (No. 99)
One atom of each set of equivalent atoms:
Zr: 0.000 0.000 0.000 (multiplicity 1)
Mo: 0.000 0.000 0.496 (multiplicity 1)
Mo: 0.500 0.500 0.274 (multiplicity 1)
Ru: 0.500 0.500 0.748 (multiplicity 1)

volume = 67 Å³/f.u.
distance to the lowest polymorph of the same formula = 0.000 eV per atom
crystal system = tetragonal
formation energy = -0.14 eV/atom
total DFT energy (no corrections) = -10.0069 eV per atom